P | Material: BaHg2Pd2
Method: DFT, PBE
State: optimized geometry

abc: 8.329 8.329 3.308
angles: 90.00 90.00 90.00
Space group P4/mbm (No. 127)
Asymmetric unit:
Ba  0.000  0.000  0.000
Hg  0.122  0.378  0.000
Pd  0.177  0.677  0.500

## Properties
crystal system: tetragonal
M_tot: 0.000 μB per cell
calculated volume: 22.9 A^3/atom

Q | Material: BaHg2Pd2
Method: DFT, PBE
State: optimized geometry

abc: 4.849 4.849 10.938
angles: 90.00 90.00 90.00
Space group I4/mmm (No. 139)
Asymmetric unit:
Ba  0.000  0.000  0.000
Hg  0.000  0.000  0.369
Pd  0.000  0.500  0.250

## Properties
crystal system: tetragonal
M_tot: 0.000 μB per cell
calculated volume: 25.7 A^3/atom

Each structure's energy above the most stable one, in meV per atom: P 133; Q 0.

P | Material: BaHg2Pd2
Method: DFT, PBE
State: optimized geometry

abc: 6.369 6.468 7.132
angles: 111.06 111.18 93.70
Space group P-1 (No. 2)
Asymmetric unit:
Ba  0.094  0.202  0.343
Hg  0.174  0.419  0.912
Hg  0.490  0.088  0.813
Pd  0.291  0.720  0.386
Pd  0.462  0.629  0.754

## Properties
crystal system: triclinic
M_tot: 0.000 μB per cell
calculated volume: 24.9 A^3/atom

Q | Material: BaHg2Pd2
Method: DFT, PBE
State: optimized geometry

abc: 7.955 7.955 3.667
angles: 90.00 90.00 90.00
Space group P4/mbm (No. 127)
Asymmetric unit:
Ba  0.000  0.000  0.000
Hg  0.154  0.346  0.500
Pd  0.132  0.632  0.000

## Properties
crystal system: tetragonal
M_tot: 0.000 μB per cell
calculated volume: 23.2 A^3/atom

Each structure's energy above the most stable one, in meV per atom: P 0; Q 91.

P | Material: BaHgPd3
Method: DFT, PBE
State: optimized geometry

abc: 5.546 9.244 9.445
angles: 90.00 90.00 90.00
Space group Imma (No. 74)
Asymmetric unit:
Ba  0.000  0.250  0.037
Hg  0.000  0.000  0.500
Pd  0.000  0.250  0.682
Pd  0.250  0.004  0.750

## Properties
crystal system: orthorhombic
M_tot: 0.000 μB per cell
calculated volume: 24.2 A^3/atom

Q | Material: BaHgPd3
Method: DFT, PBE
State: optimized geometry

abc: 5.156 5.156 5.156
angles: 90.00 90.00 90.00
Space group Pm-3m (No. 221)
Asymmetric unit:
Ba  0.000  0.000  0.000
Hg  0.500  0.500  0.500
Pd  0.000  0.500  0.500

## Properties
crystal system: cubic
M_tot: 0.000 μB per cell
calculated volume: 27.4 A^3/atom

R | Material: BaHgPd3
Method: DFT, PBE
State: optimized geometry

abc: 5.456 5.456 5.456
angles: 90.00 90.00 90.00
Space group Pm-3m (No. 221)
Asymmetric unit:
Ba  0.000  0.000  0.000
Hg  0.500  0.500  0.500
Pd  0.000  0.000  0.500

## Properties
crystal system: cubic
M_tot: 0.000 μB per cell
calculated volume: 32.5 A^3/atom

Each structure's energy above the most stable one, in meV per atom: P 0; Q 449; R 1280.

P | Material: Ba6HgPd2
Method: DFT, PBE
State: optimized geometry

abc: 15.388 6.244 10.666
angles: 90.00 118.55 90.00
Space group C2/m (No. 12)
Asymmetric unit:
Ba  0.019  0.000  0.204
Ba  0.148  0.500  0.584
Ba  0.200  0.500  0.088
Hg  0.000  0.000  0.500
Pd  0.179  0.000  0.095

## Properties
crystal system: monoclinic
M_tot: 0.000 μB per cell
calculated volume: 50.0 A^3/atom

Q | Material: Ba6HgPd2
Method: DFT, PBE
State: optimized geometry

abc: 8.1282 8.1282 7.7115
angles: 90.00 90.00 120.00
Space group P-31m (No. 162)
Asymmetric unit:
Ba  0.0000  0.3477  0.2326
Hg  0.0000  0.0000  0.5000
Pd  0.3333  0.6667  0.0000

## Properties
crystal system: trigonal
M_tot: 0.000 μB per cell
calculated volume: 49.0 A^3/atom

Each structure's energy above the most stable one, in meV per atom: P 44; Q 0.

P | Material: Ba8Hg2Pd
Method: DFT, PBE
State: optimized geometry

abc: 14.523 10.509 8.017
angles: 90.00 108.81 90.00
Space group C2/m (No. 12)
Asymmetric unit:
Ba  0.077  0.000  0.277
Ba  0.129  0.500  0.245
Ba  0.145  0.297  0.738
Hg  0.183  0.000  0.949
Pd  0.000  0.500  0.500

## Properties
crystal system: monoclinic
M_tot: 0.000 μB per cell
calculated volume: 52.6 A^3/atom

Q | Material: Ba8Hg2Pd
Method: DFT, PBE
State: optimized geometry

abc: 21.396 5.926 8.056
angles: 90.00 104.57 90.00
Space group C2/m (No. 12)
Asymmetric unit:
Ba  0.034  0.000  0.304
Ba  0.089  0.500  0.915
Ba  0.157  0.500  0.466
Ba  0.213  0.000  0.819
Hg  0.189  0.000  0.230
Pd  0.000  0.500  0.500

## Properties
crystal system: monoclinic
M_tot: 0.000 μB per cell
calculated volume: 44.9 A^3/atom

Each structure's energy above the most stable one, in meV per atom: P 0; Q 19.

P | Material: Ba4Hg2Pd
Method: DFT, PBE
State: optimized geometry

abc: 17.237 4.995 7.195
angles: 90.00 104.50 90.00
Space group C2/m (No. 12)
Asymmetric unit:
Ba  0.082  0.000  0.269
Ba  0.151  0.500  0.820
Hg  0.236  0.500  0.352
Pd  0.000  0.500  0.000

## Properties
crystal system: monoclinic
M_tot: 0.000 μB per cell
calculated volume: 42.8 A^3/atom

Q | Material: Ba4Hg2Pd
Method: DFT, PBE
State: optimized geometry

abc: 6.163 6.163 17.053
angles: 90.00 90.00 90.00
Space group I4/mmm (No. 139)
Asymmetric unit:
Ba  0.000  0.000  0.189
Ba  0.000  0.500  0.000
Hg  0.000  0.000  0.392
Pd  0.000  0.000  0.000

## Properties
crystal system: tetragonal
M_tot: 0.013 μB per cell
calculated volume: 46.3 A^3/atom

Each structure's energy above the most stable one, in meV per atom: P 0; Q 78.

P | Material: BaHg4Pd2
Method: DFT, PBE
State: optimized geometry

abc: 4.653 16.645 4.595
angles: 90.00 90.00 90.00
Space group Cmmm (No. 65)
Asymmetric unit:
Ba  0.000  0.000  0.000
Hg  0.000  0.176  0.500
Hg  0.000  0.322  0.000
Pd  0.000  0.420  0.500

## Properties
crystal system: orthorhombic
M_tot: 0.000 μB per cell
calculated volume: 25.4 A^3/atom

Q | Material: BaHg4Pd2
Method: DFT, PBE
State: optimized geometry

abc: 19.050 4.912 7.365
angles: 90.00 90.00 90.00
Space group Pnma (No. 62)
Asymmetric unit:
Ba  0.140  0.250  0.022
Hg  0.035  0.750  0.837
Hg  0.069  0.250  0.490
Hg  0.183  0.750  0.328
Hg  0.192  0.750  0.729
Pd  0.037  0.750  0.243
Pd  0.216  0.250  0.535

## Properties
crystal system: orthorhombic
M_tot: 0.000 μB per cell
calculated volume: 24.6 A^3/atom

Each structure's energy above the most stable one, in meV per atom: P 31; Q 0.

P | Material: Ba2Hg5Pd
Method: DFT, PBE
State: optimized geometry

abc: 4.916 18.678 10.501
angles: 90.00 90.00 90.00
Space group Cmcm (No. 63)
Asymmetric unit:
Ba  0.000  0.000  0.000
Ba  0.000  0.196  0.250
Hg  0.000  0.191  0.608
Hg  0.000  0.357  0.528
Hg  0.000  0.416  0.250
Pd  0.000  0.436  0.750

## Properties
crystal system: orthorhombic
M_tot: 0.000 μB per cell
calculated volume: 30.1 A^3/atom

Q | Material: Ba2Hg5Pd
Method: DFT, PBE
State: optimized geometry

abc: 6.776 6.776 11.573
angles: 90.00 90.00 90.00
Space group I4mm (No. 107)
Asymmetric unit:
Ba  0.000  0.500  0.000
Hg  0.000  0.000  0.117
Hg  0.243  0.243  0.756
Pd  0.000  0.000  0.885

## Properties
crystal system: tetragonal
M_tot: 0.000 μB per cell
calculated volume: 33.2 A^3/atom

Each structure's energy above the most stable one, in meV per atom: P 0; Q 60.

P | Material: BaHg2Pd3
Method: DFT, PBE
State: optimized geometry

abc: 5.9478 5.9478 4.4231
angles: 90.00 90.00 120.00
Space group P6/mmm (No. 191)
Asymmetric unit:
Ba  0.0000  0.0000  0.0000
Hg  0.3333  0.6667  0.0000
Pd  0.0000  0.5000  0.5000

## Properties
crystal system: hexagonal
M_tot: 0.000 μB per cell
calculated volume: 22.6 A^3/atom

Q | Material: BaHg2Pd3
Method: DFT, PBE
State: optimized geometry

abc: 4.6976 4.6976 14.5682
angles: 90.00 90.00 120.00
Space group P6_3/mmc (No. 194)
Asymmetric unit:
Ba  0.0000  0.0000  0.2500
Hg  0.3333  0.6667  0.0860
Pd  0.0000  0.0000  0.0000
Pd  0.3333  0.6667  0.6054

## Properties
crystal system: hexagonal
M_tot: 0.000 μB per cell
calculated volume: 23.2 A^3/atom

Each structure's energy above the most stable one, in meV per atom: P 0; Q 126.

P | Material: Ba2Hg6Pd
Method: DFT, PBE
State: optimized geometry

abc: 8.070 12.788 4.970
angles: 90.00 90.00 90.00
Space group Cmmm (No. 65)
Asymmetric unit:
Ba  0.000  0.193  0.000
Hg  0.188  0.500  0.000
Hg  0.193  0.369  0.500
Pd  0.000  0.000  0.500

## Properties
crystal system: orthorhombic
M_tot: 0.000 μB per cell
calculated volume: 28.5 A^3/atom

Q | Material: Ba2Hg6Pd
Method: DFT, PBE
State: optimized geometry

abc: 11.807 6.883 7.547
angles: 90.00 122.15 90.00
Space group C2/m (No. 12)
Asymmetric unit:
Ba  0.221  0.000  0.161
Hg  0.024  0.253  0.318
Hg  0.226  0.000  0.682
Pd  0.000  0.500  0.000

## Properties
crystal system: monoclinic
M_tot: 0.000 μB per cell
calculated volume: 28.8 A^3/atom

Each structure's energy above the most stable one, in meV per atom: P 17; Q 0.